KTbSm2Se4 | Alexandria via LeMat-Bulk | GGA-PBE | relaxed; theoretical density = 6.3 g cm⁻³; uncorrected formation energy = -1.728 eV/atom; DOS(E_F) = 0.355 states/eV per atom
1.0
4.1739 0.0000 0.0000
0.0000 7.3544 -0.1974
0.0000 2.5381 6.9303
K Tb Sm Se
1 1 2 4
Direct
0.5000 0.5000 0.0000
0.0000 0.5000 0.5000
0.0000 0.0000 0.0000
0.5000 0.0000 0.5000
0.0000 0.7615 0.7336
0.0000 0.2385 0.2664
0.5000 0.7500 0.2596
0.5000 0.2501 0.7404